TbPmPt2: optimized geometry, GGA-PBE.

Calculated values
- ΔE_f: -1.062 eV/atom
- DOS(E_F): 2.1 states/eV per cell
- Crystal system: trigonal
- Total moment: 0.000 μB per formula unit
- E above lowest polymorph: 0.63 eV/f.u.

Unit cell a=4.087 b=4.087 c=7.350 alpha=73.86 beta=73.86 gamma=60.00
Positions (direct):
Tb  0.497  0.497  0.508
Pt  0.246  0.246  0.263
Pt  0.087  0.087  0.738
Pm  0.670  0.670  0.991